This record from Alexandria via LeMat-Bulk describes an optimized crystal structure of Pm3Nd7Tm2. The functional is PBE.

## Properties
The value obtained for the volume is 36.09 Å³ per atom. For the energy above the most stable polymorph in this dataset, the calculation gives 0.191 eV per atom. The density of states at the Fermi level is 20.45 states/eV/cell. Its total moment is 0.0 μB/cell.

Unit cell a=6.6343 b=6.6343 c=11.9914 alpha=73.94 beta=73.94 gamma=60.00
Sites, in units of the cell vectors:
Pm 0.0000 0.0000 0.0000
Pm 0.1533 0.1533 0.5402
Pm 0.8467 0.8467 0.4598
Nd 0.5000 0.5000 0.5000
Nd 0.0785 0.5858 0.7500
Nd 0.5858 0.5858 0.7500
Nd 0.5858 0.0785 0.7500
Nd 0.9215 0.4142 0.2500
Nd 0.4142 0.9215 0.2500
Nd 0.4142 0.4142 0.2500
Tm 0.3339 0.3339 0.9982
Tm 0.6661 0.6661 0.0018

This record from Alexandria via LeMat-Bulk describes an optimized crystal structure of Pm16Nd6Tm7. The functional is PBE.

## Properties
The value obtained for the volume is 35.15 Å³ per atom. The calculation puts the total energy at -129.959 eV/cell. The density of states at the Fermi level is 46.20 states/eV/cell. Its total moment is 0.0 μB/cell.

Unit cell a=11.2964 b=11.2964 c=11.2964 alpha=60.00 beta=60.00 gamma=60.00
Sites, in units of the cell vectors:
Pm 0.8751 0.8751 0.3747
Pm 0.8751 0.8751 0.8751
Pm 0.8751 0.3747 0.8751
Pm 0.3747 0.8751 0.8751
Pm 0.1249 0.1249 0.1249
Pm 0.1249 0.1249 0.6253
Pm 0.1249 0.6253 0.1249
Pm 0.6253 0.1249 0.1249
Pm 0.6514 0.6514 0.0457
Pm 0.6514 0.6514 0.6514
Pm 0.6514 0.0457 0.6514
Pm 0.0457 0.6514 0.6514
Pm 0.3486 0.3486 0.3486
Pm 0.3486 0.3486 0.9543
Pm 0.3486 0.9543 0.3486
Pm 0.9543 0.3486 0.3486
Nd 0.2760 0.7240 0.2760
Nd 0.7240 0.2760 0.7240
Nd 0.7240 0.2760 0.2760
Nd 0.2760 0.7240 0.7240
Nd 0.7240 0.7240 0.2760
Nd 0.2760 0.2760 0.7240
Tm 0.0000 0.0000 0.0000
Tm 0.5000 0.0000 0.5000
Tm 0.0000 0.5000 0.0000
Tm 0.0000 0.5000 0.5000
Tm 0.5000 0.0000 0.0000
Tm 0.0000 0.0000 0.5000
Tm 0.5000 0.5000 0.0000

This record from Alexandria via LeMat-Bulk describes an optimized crystal structure of Pm3Nd7Tm. The functional is PBE.

## Properties
The value obtained for the volume is 35.37 Å³ per atom. For the energy above the most stable polymorph in this dataset, the calculation gives 0.000 eV per atom. The density of states at the Fermi level is 32.57 states/eV/cell. Its total moment is 0.0 μB/cell.

Unit cell a=10.2908 b=10.3480 c=11.2853 alpha=90.00 beta=90.00 gamma=139.65
Sites, in units of the cell vectors:
Pm 0.2422 0.7269 0.7500
Pm 0.0000 0.0000 0.0000
Pm 0.0000 0.0000 0.5000
Pm 0.2272 0.7537 0.2500
Pm 0.7728 0.2463 0.7500
Pm 0.7578 0.2731 0.2500
Nd 0.3462 0.1688 0.2500
Nd 0.8141 0.6443 0.7500
Nd 0.0893 0.4164 0.5099
Nd 0.0893 0.4164 0.9901
Nd 0.5888 0.9061 0.0449
Nd 0.5888 0.9061 0.4551
Nd 0.2006 0.3015 0.7500
Nd 0.7994 0.6985 0.2500
Nd 0.4112 0.0939 0.9551
Nd 0.4112 0.0939 0.5449
Nd 0.9107 0.5836 0.0099
Nd 0.9107 0.5836 0.4901
Nd 0.1859 0.3557 0.2500
Nd 0.6538 0.8312 0.7500
Tm 0.5000 0.5000 0.0000
Tm 0.5000 0.5000 0.5000

This record from Alexandria via LeMat-Bulk describes an optimized crystal structure of Pm3Nd5Tm3. The functional is PBE.

## Properties
The value obtained for the volume is 41.80 Å³ per atom. For the energy above the most stable polymorph in this dataset, the calculation gives 0.434 eV per atom. The density of states at the Fermi level is 18.83 states/eV/cell. Its total moment is 0.0 μB/cell.

Unit cell a=5.5440 b=9.7862 c=9.7862 alpha=120.00 beta=90.00 gamma=90.00
Sites, in units of the cell vectors:
Pm 0.0000 0.4310 0.4310
Pm 0.0000 0.5690 0.0000
Pm 0.0000 0.0000 0.5690
Nd 0.5000 0.3333 0.6667
Nd 0.5000 0.6667 0.3333
Nd 0.5000 0.2683 0.2683
Nd 0.5000 0.0000 0.7317
Nd 0.5000 0.7317 0.0000
Tm 0.5000 0.6319 0.6319
Tm 0.5000 0.0000 0.3681
Tm 0.5000 0.3681 0.0000

This record from Alexandria via LeMat-Bulk describes an optimized crystal structure of PmNd5Tm4. The functional is PBE.

## Properties
The value obtained for the volume is 33.63 Å³ per atom. For the energy above the most stable polymorph in this dataset, the calculation gives 0.272 eV per atom. The density of states at the Fermi level is 15.07 states/eV/cell. Its total moment is 0.0 μB/cell.

Unit cell a=6.3526 b=7.9386 c=7.9386 alpha=80.79 beta=66.41 gamma=66.41
Sites, in units of the cell vectors:
Pm 0.2227 0.0000 0.0000
Nd 0.8047 0.3826 0.9104
Nd 0.1874 0.9104 0.6174
Nd 0.7152 0.0896 0.3826
Nd 0.0978 0.6174 0.0896
Nd 0.6806 0.0000 0.0000
Tm 0.4005 0.3995 0.7006
Tm 0.7999 0.7006 0.6006
Tm 0.1011 0.2994 0.3995
Tm 0.5005 0.6006 0.2994

This record from Alexandria via LeMat-Bulk describes an optimized crystal structure of Pm8NdTm4. The functional is PBE.

## Properties
The value obtained for the volume is 33.46 Å³ per atom. The calculation puts the total energy at -58.264 eV/cell. The density of states at the Fermi level is 14.28 states/eV/cell. Its total moment is 0.0 μB/cell.

Unit cell a=7.3189 b=7.3189 c=10.2842 alpha=90.00 beta=110.84 gamma=120.00
Sites, in units of the cell vectors:
Pm 0.5675 0.7838 0.3513
Pm 0.4325 0.2162 0.6487
Pm 0.4975 0.2487 0.2954
Pm 0.9534 0.2021 0.7046
Pm 0.5025 0.7513 0.7046
Pm 0.9534 0.7513 0.7046
Pm 0.0466 0.2487 0.2954
Pm 0.0466 0.7979 0.2954
Nd 0.0000 0.5000 0.5000
Tm 0.0000 0.0000 0.0000
Tm 0.0000 0.5000 0.0000
Tm 0.5000 0.5000 0.0000
Tm 0.5000 0.0000 0.0000

This record from Alexandria via LeMat-Bulk describes an optimized crystal structure of Pm3Nd3Tm. The functional is PBE.

## Properties
The value obtained for the volume is 35.29 Å³ per atom. For the energy above the most stable polymorph in this dataset, the calculation gives 0.195 eV per atom. The density of states at the Fermi level is 19.72 states/eV/cell. Its total moment is 0.0 μB/cell.

Unit cell a=8.9755 b=8.9755 c=8.9755 alpha=58.53 beta=58.53 gamma=58.53
Sites, in units of the cell vectors:
Pm 0.7203 0.5669 0.0693
Pm 0.0693 0.7203 0.5669
Pm 0.5669 0.0693 0.7203
Pm 0.4331 0.9307 0.2797
Pm 0.9307 0.2797 0.4331
Pm 0.2797 0.4331 0.9307
Nd 0.7051 0.1830 0.9372
Nd 0.1830 0.9372 0.7051
Nd 0.9372 0.7051 0.1830
Nd 0.0628 0.2949 0.8170
Nd 0.8170 0.0628 0.2949
Nd 0.2949 0.8170 0.0628
Tm 0.3447 0.3447 0.3447
Tm 0.6553 0.6553 0.6553

This record from Alexandria via LeMat-Bulk describes an optimized crystal structure of Pm3Nd3Tm4. The functional is PBE.

## Properties
The value obtained for the volume is 33.68 Å³ per atom. The calculation puts the total energy at -45.569 eV/cell. The density of states at the Fermi level is 9.55 states/eV/cell. Its total moment is 0.4 μB/cell.

Unit cell a=3.6425 b=9.6153 c=9.6153 alpha=89.98 beta=90.00 gamma=90.00
Sites, in units of the cell vectors:
Pm 0.5000 0.8249 0.1751
Pm 0.5000 0.3253 0.3249
Pm 0.5000 0.6751 0.6747
Nd 0.0000 0.5008 0.0001
Nd 0.0000 0.9999 0.4992
Nd 0.5000 0.1749 0.8251
Tm 0.0000 0.6218 0.3782
Tm 0.0000 0.3787 0.6213
Tm 0.0000 0.8775 0.8788
Tm 0.0000 0.1212 0.1225

This record from Alexandria via LeMat-Bulk describes an optimized crystal structure of Pm5Nd3Tm3. The functional is PBE.

## Properties
The value obtained for the volume is 35.03 Å³ per atom. For the energy above the most stable polymorph in this dataset, the calculation gives 0.000 eV per atom. The density of states at the Fermi level is 17.58 states/eV/cell. Its total moment is 0.0 μB/cell.

Unit cell a=3.4614 b=11.3379 c=11.3379 alpha=120.00 beta=90.00 gamma=90.00
Sites, in units of the cell vectors:
Pm 0.5000 0.6667 0.3333
Pm 0.5000 0.3333 0.6667
Pm 0.5000 0.3363 0.0000
Pm 0.5000 0.6637 0.6637
Pm 0.5000 0.0000 0.3363
Nd 0.0000 0.5970 0.0000
Nd 0.0000 0.0000 0.5970
Nd 0.0000 0.4030 0.4030
Tm 0.5000 0.8413 0.0000
Tm 0.5000 0.1587 0.1587
Tm 0.5000 0.0000 0.8413

This record from Alexandria via LeMat-Bulk describes an optimized crystal structure of PmNd3Tm4. The functional is PBE.

## Properties
The value obtained for the volume is 32.36 Å³ per atom. For the energy above the most stable polymorph in this dataset, the calculation gives 0.000 eV per atom. The density of states at the Fermi level is 21.04 states/eV/cell. Its total moment is 0.0 μB/cell.

Unit cell a=10.0794 b=7.1527 c=7.1815 alpha=90.00 beta=90.00 gamma=90.00
Sites, in units of the cell vectors:
Tm 0.0002 0.8106 0.0000
Tm 0.5000 0.3106 0.0000
Tm 0.7495 0.0605 0.7501
Tm 0.2505 0.5605 0.7499
Tm 0.5000 0.8106 0.5000
Tm 0.9998 0.3106 0.5000
Tm 0.2505 0.5605 0.2501
Tm 0.7495 0.0605 0.2499
Nd 0.0000 0.3106 0.0000
Nd 0.2506 0.0607 0.7499
Nd 0.7494 0.5607 0.7501
Nd 0.0000 0.8106 0.5000
Nd 0.7494 0.5607 0.2499
Nd 0.2506 0.0607 0.2501
Pm 0.4997 0.8106 0.0000
Pm 0.5003 0.3106 0.5000

Which value of total moment does entry 2 give?
0.0 μB/cell

Which of these has the highest total moment?
Pm3Nd3Tm4

Which value of total moment does entry 7 give?
0.0 μB/cell